A plane-wave DFT calculation with PBE+U was carried out for Rb2MnIrO4 after structural relaxation.

Summary:
Total magnetization = 0.75 μB/atom
D(E_F) = 6.71 states/eV/cell
E_tot = -5.84 eV per atom

Lattice parameters (Å, degrees): 12.336 10.609 7.496 84.02 58.80 37.18
Fractional positions:
Rb (0.049, 0.049, 0.701)
Rb (0.299, 0.299, 0.951)
Rb (0.701, 0.701, 0.049)
Rb (0.951, 0.951, 0.299)
Mn (0.125, 0.125, 0.125)
Mn (0.875, 0.875, 0.875)
Ir (0.375, 0.375, 0.375)
Ir (0.625, 0.625, 0.625)
O (0.020, 0.726, 0.541)
O (0.212, 0.541, 0.726)
O (0.274, 0.980, 0.788)
O (0.459, 0.788, 0.980)
O (0.541, 0.212, 0.020)
O (0.726, 0.020, 0.212)
O (0.788, 0.459, 0.274)
O (0.980, 0.274, 0.459)